This record from the Open Quantum Materials Database describes a relaxed structure of LiFeSiIr. The functional is PBE.

```
LiFeSiIr
1.0
0.0000 2.8439 2.8439
2.8439 0.0000 2.8439
2.8439 2.8439 0.0000
Li Fe Si Ir
1 1 1 1
Direct
0.0000 0.0000 0.0000
0.7500 0.7500 0.7500
0.5000 0.5000 0.5000
0.2500 0.2500 0.2500
```

Output
For the energy above the most stable polymorph in this dataset, the calculation gives 0 meV/atom.


This record from the Open Quantum Materials Database describes a relaxed structure of Ni2Sb3As. The functional is PBE.

```
Ni2Sb3As
1.0
5.0944 0.0000 0.0000
0.0000 3.8106 0.0000
-0.1559 0.0000 6.2391
Ni Sb As
2 3 1
Direct
0.0000 0.0000 0.0000
0.4720 0.5000 0.4812
0.2725 0.5000 0.8455
0.7164 0.5000 0.1372
0.7810 0.0000 0.6192
0.2078 0.0000 0.3511
```

Output
For the energy above the most stable polymorph in this dataset, the calculation gives 0 meV/atom.


This record from the Open Quantum Materials Database describes a relaxed structure of Cs2TePdS. The functional is PBE.

```
Cs2TePdS
1.0
-1.9676 5.5518 3.9941
1.9676 -5.5518 3.9941
1.9676 5.5518 -3.9941
Cs Te Pd S
2 1 1 1
Direct
0.1893 0.0000 0.1893
0.8107 0.0000 0.8107
0.6740 0.1740 0.5000
0.4531 0.4531 0.0000
0.2665 0.7665 0.5000
```

Output
The value obtained for the total energy is -18.27 eV/cell.


Number 2 is which compound? Ni2Sb3As


Copy entry 3 word for word.
This record from the Open Quantum Materials Database describes a relaxed structure of Cs2TePdS. The functional is PBE.

```
Cs2TePdS
1.0
-1.9676 5.5518 3.9941
1.9676 -5.5518 3.9941
1.9676 5.5518 -3.9941
Cs Te Pd S
2 1 1 1
Direct
0.1893 0.0000 0.1893
0.8107 0.0000 0.8107
0.6740 0.1740 0.5000
0.4531 0.4531 0.0000
0.2665 0.7665 0.5000
```

Output
The value obtained for the total energy is -18.27 eV/cell.